# 1
A geometry-optimized Ac6PmPr4 structure. Source: the Alexandria database, functional PBE.

Unit cell a=11.4442 b=11.4442 c=11.4442 alpha=145.22 beta=145.22 gamma=50.00
With the nearest neighbours (Å) after each atom.
Sites, in units of the cell vectors:
Ac 0.0000 0.5000 0.5000  2 Pm 3.42, 4 Pr 3.74
Ac 0.0102 0.6107 0.0000  5 Pr 3.64-3.71, 1 Ac 3.87
Ac 0.3893 0.3893 0.3996  5 Pr 3.64-3.71, 1 Ac 3.87
Ac 0.5000 0.0000 0.5000  2 Pm 3.42, 4 Pr 3.74
Ac 0.6107 0.0102 0.0000  5 Pr 3.64-3.71, 1 Ac 3.87
Ac 0.9898 0.9898 0.6004  5 Pr 3.64-3.71, 1 Ac 3.87
Pm 0.5000 0.5000 0.0000  4 Pr 3.37, 4 Ac 3.42
Pr 0.1711 0.1711 0.6120  1 Pm 3.37, 7 Ac 3.64-3.74, 1 Pr 3.75
Pr 0.4409 0.8289 0.0000  1 Pm 3.37, 7 Ac 3.64-3.74, 1 Pr 3.75
Pr 0.5591 0.5591 0.3880  1 Pm 3.37, 7 Ac 3.64-3.74, 1 Pr 3.75
Pr 0.8289 0.4409 0.0000  1 Pm 3.37, 7 Ac 3.64-3.74, 1 Pr 3.75

Computed properties:
The magnetization is 0.0 Bohr magnetons per cell. For the calculated formation energy, the calculation gives 0.301 eV per atom. The relative energy among the computed polymorphs is 0.000 eV per atom. For the density of states at the Fermi level, the calculation gives 18.27 states/eV/cell. Its electronic total energy is -45.21 eV for the cell shown.

# 2
A geometry-optimized AcPm5Pr6 structure. Source: the Alexandria database, functional PBE.

Unit cell a=6.4322 b=6.4322 c=12.3034 alpha=95.02 beta=95.02 gamma=119.96
With the nearest neighbours (Å) after each atom.
Sites, in units of the cell vectors:
Ac 0.0000 0.0000 0.0000  6 Pm 3.71, 6 Pr 3.75-3.76
Pm 0.1669 0.8331 0.5000  6 Pr 3.67-3.68, 6 Pm 3.71-3.72
Pm 0.3335 0.6665 0.0000  3 Pm 3.71-3.72, 3 Ac 3.71, 6 Pr 3.74
Pm 0.5000 0.5000 0.5000  6 Pr 3.67-3.69, 6 Pm 3.71-3.72
Pm 0.6665 0.3335 0.0000  3 Pm 3.71-3.72, 3 Ac 3.71, 6 Pr 3.74
Pm 0.8331 0.1669 0.5000  6 Pr 3.67-3.68, 6 Pm 3.71-3.72
Pr 0.0837 0.4197 0.2532  5 Pm 3.67-3.74, 6 Pr 3.70-3.74, 1 Ac 3.75
Pr 0.2518 0.2518 0.7467  5 Pm 3.67-3.74, 6 Pr 3.70-3.74, 1 Ac 3.76
Pr 0.4197 0.0837 0.2532  5 Pm 3.67-3.74, 6 Pr 3.70-3.74, 1 Ac 3.75
Pr 0.5803 0.9163 0.7468  5 Pm 3.67-3.74, 6 Pr 3.70-3.74, 1 Ac 3.75
Pr 0.7482 0.7482 0.2533  5 Pm 3.67-3.74, 6 Pr 3.70-3.74, 1 Ac 3.76
Pr 0.9163 0.5803 0.7468  5 Pm 3.67-3.74, 6 Pr 3.70-3.74, 1 Ac 3.75

Computed properties:
The magnetization is 0.0 Bohr magnetons per cell. For the calculated formation energy, the calculation gives 0.019 eV per atom. For the density of states at the Fermi level, the calculation gives 19.59 states/eV/cell. Its electronic total energy is -56.31 eV for the cell shown.

# 3
A geometry-optimized AcPm3Pr8 structure. Source: the Alexandria database, functional PBE.

Unit cell a=9.0216 b=9.0216 c=9.0216 alpha=136.51 beta=98.37 gamma=97.41
With the nearest neighbours (Å) after each atom.
Sites, in units of the cell vectors:
Ac 0.0000 0.0000 0.0000  8 Pr 3.56-3.65
Pm 0.2718 0.7718 0.5000  10 Pr 3.86-4.13, 2 Pm 4.31
Pm 0.5000 0.5000 0.0000  8 Pr 3.23-3.58
Pm 0.7282 0.2282 0.5000  10 Pr 3.86-4.13, 2 Pm 4.31
Pr 0.0803 0.2537 0.8266  6 Pr 3.50-3.80, 2 Pm 3.58-3.86, 1 Ac 3.65
Pr 0.2718 0.2320 0.5037  1 Pr 3.10, 1 Pm 3.23
Pr 0.2718 0.7680 0.0398  1 Pr 3.10, 1 Pm 3.23
Pr 0.4271 0.2537 0.1734  6 Pr 3.50-3.80, 2 Pm 3.58-3.86, 1 Ac 3.65
Pr 0.5729 0.7463 0.8266  6 Pr 3.50-3.80, 2 Pm 3.58-3.86, 1 Ac 3.65
Pr 0.7282 0.2320 0.9602  1 Pr 3.10, 1 Pm 3.23
Pr 0.7282 0.7680 0.4963  1 Pr 3.10, 1 Pm 3.23
Pr 0.9197 0.7463 0.1734  6 Pr 3.50-3.80, 2 Pm 3.58-3.86, 1 Ac 3.65

Computed properties:
The magnetization is 0.0 Bohr magnetons per cell. For the calculated formation energy, the calculation gives 0.306 eV per atom. For the density of states at the Fermi level, the calculation gives 17.66 states/eV/cell. Its electronic total energy is -52.93 eV for the cell shown.

# 4
A geometry-optimized Ac3PmPr structure. Source: the Alexandria database, functional PBE.

Unit cell a=6.6764 b=9.4183 c=13.3771 alpha=90.00 beta=90.00 gamma=90.00
With the nearest neighbours (Å) after each atom.
Sites, in units of the cell vectors:
Ac 0.0825 0.1722 0.0694  2 Pr 3.69-3.71, 2 Pm 3.70-3.81, 5 Ac 3.82-3.94
Ac 0.0825 0.3278 0.4306  2 Pr 3.69-3.71, 2 Pm 3.70-3.81, 5 Ac 3.82-3.94
Ac 0.1410 0.2500 0.7500  2 Pm 3.56, 2 Pr 3.59, 2 Ac 3.88
Ac 0.3590 0.7500 0.7500  2 Pm 3.56, 2 Pr 3.59, 2 Ac 3.88
Ac 0.4175 0.6722 0.4306  2 Pr 3.69-3.71, 2 Pm 3.70-3.81, 5 Ac 3.82-3.94
Ac 0.4175 0.8278 0.0694  2 Pr 3.69-3.71, 2 Pm 3.70-3.81, 5 Ac 3.82-3.94
Ac 0.5825 0.1722 0.9306  2 Pr 3.69-3.71, 2 Pm 3.70-3.81, 5 Ac 3.82-3.94
Ac 0.5825 0.3278 0.5694  2 Pr 3.69-3.71, 2 Pm 3.70-3.81, 5 Ac 3.82-3.94
Ac 0.6410 0.2500 0.2500  2 Pm 3.56, 2 Pr 3.59, 2 Ac 3.88
Ac 0.8590 0.7500 0.2500  2 Pm 3.56, 2 Pr 3.59, 2 Ac 3.88
Ac 0.9175 0.6722 0.5694  2 Pr 3.69-3.71, 2 Pm 3.70-3.81, 5 Ac 3.82-3.94
Ac 0.9175 0.8278 0.9306  2 Pr 3.69-3.71, 2 Pm 3.70-3.81, 5 Ac 3.82-3.94
Pm 0.2500 0.0000 0.5579  1 Pr 3.40, 4 Ac 3.56-3.70, 2 Pm 3.68
Pm 0.2500 0.5000 0.9421  1 Pr 3.40, 4 Ac 3.56-3.70, 2 Pm 3.68
Pm 0.7500 0.0000 0.4421  1 Pr 3.40, 4 Ac 3.56-3.70, 2 Pm 3.68
Pm 0.7500 0.5000 0.0579  1 Pr 3.40, 4 Ac 3.56-3.70, 2 Pm 3.68
Pr 0.2500 0.0000 0.3040  1 Pm 3.40, 6 Ac 3.59-3.71
Pr 0.2500 0.5000 0.1960  1 Pm 3.40, 6 Ac 3.59-3.71
Pr 0.7500 0.0000 0.6960  1 Pm 3.40, 6 Ac 3.59-3.71
Pr 0.7500 0.5000 0.8040  1 Pm 3.40, 6 Ac 3.59-3.71

Computed properties:
The magnetization is 0.0 Bohr magnetons per cell. For the calculated formation energy, the calculation gives 0.156 eV per atom. The relative energy among the computed polymorphs is 0.124 eV per atom. For the density of states at the Fermi level, the calculation gives 30.93 states/eV/cell. Its electronic total energy is -84.30 eV for the cell shown.

# 5
A geometry-optimized AcPm4Pr5 structure. Source: the Alexandria database, functional PBE.

Unit cell a=3.7365 b=3.7365 c=26.1192 alpha=90.00 beta=90.00 gamma=90.00
With the nearest neighbours (Å) after each atom.
Sites, in units of the cell vectors:
Ac 0.0000 0.0000 0.0000  4 Ac 3.74, 8 Pr 3.85
Pm 0.0000 0.0000 0.2054  8 Pr 3.68-3.69, 4 Pm 3.74
Pm 0.0000 0.0000 0.4017  8 Pr 3.68, 4 Pm 3.74
Pm 0.0000 0.0000 0.5983  8 Pr 3.68, 4 Pm 3.74
Pm 0.0000 0.0000 0.7946  8 Pr 3.68-3.69, 4 Pm 3.74
Pr 0.5000 0.5000 0.1072  4 Pm 3.68, 4 Pr 3.74, 4 Ac 3.85
Pr 0.5000 0.5000 0.3037  8 Pm 3.68-3.69, 4 Pr 3.74
Pr 0.5000 0.5000 0.5000  8 Pm 3.68, 4 Pr 3.74
Pr 0.5000 0.5000 0.6963  8 Pm 3.68-3.69, 4 Pr 3.74
Pr 0.5000 0.5000 0.8928  4 Pm 3.68, 4 Pr 3.74, 4 Ac 3.85

Computed properties:
The magnetization is 0.0 Bohr magnetons per cell. For the calculated formation energy, the calculation gives 0.023 eV per atom. For the density of states at the Fermi level, the calculation gives 16.45 states/eV/cell. Its electronic total energy is -46.78 eV for the cell shown.

# 6
A geometry-optimized Ac2Pm12Pr5 structure. Source: the Alexandria database, functional PBE.

Unit cell a=8.9613 b=8.9613 c=9.6847 alpha=109.76 beta=109.76 gamma=82.77
With the nearest neighbours (Å) after each atom.
Sites, in units of the cell vectors:
Ac 0.2368 0.7632 0.0000  10 Pm 3.71-3.96, 2 Pr 3.80
Ac 0.7632 0.2368 0.0000  10 Pm 3.71-3.96, 2 Pr 3.80
Pm 0.0627 0.5557 0.1955  5 Pm 3.34-3.63, 1 Pr 3.44, 1 Ac 3.71
Pm 0.0747 0.0747 0.7740  5 Pm 3.34-3.67, 2 Pr 3.51-3.71
Pm 0.1132 0.6713 0.5741  4 Pm 3.34-3.63, 1 Pr 3.63, 1 Ac 3.71
Pm 0.3287 0.8868 0.4259  4 Pm 3.34-3.63, 1 Pr 3.63, 1 Ac 3.71
Pm 0.3700 0.3700 0.0547  2 Pr 3.41-3.59, 3 Pm 3.47-3.67, 2 Ac 3.73
Pm 0.4443 0.9373 0.8045  5 Pm 3.34-3.63, 1 Pr 3.44, 1 Ac 3.71
Pm 0.5557 0.0627 0.1955  5 Pm 3.34-3.63, 1 Pr 3.44, 1 Ac 3.71
Pm 0.6300 0.6300 0.9453  2 Pr 3.41-3.59, 3 Pm 3.47-3.67, 2 Ac 3.73
Pm 0.6713 0.1132 0.5741  4 Pm 3.34-3.63, 1 Pr 3.63, 1 Ac 3.71
Pm 0.8868 0.3287 0.4259  4 Pm 3.34-3.63, 1 Pr 3.63, 1 Ac 3.71
Pm 0.9253 0.9253 0.2260  5 Pm 3.34-3.67, 2 Pr 3.51-3.71
Pm 0.9373 0.4443 0.8045  5 Pm 3.34-3.63, 1 Pr 3.44, 1 Ac 3.71
Pr 0.1904 0.1904 0.2387  6 Pm 3.44-3.63, 2 Pr 3.77, 2 Ac 3.80
Pr 0.3098 0.3098 0.6732  6 Pm 3.41-3.76, 2 Pr 3.64-3.77
Pr 0.5000 0.5000 0.5000  4 Pr 3.64-3.77, 6 Pm 3.81-3.85
Pr 0.6902 0.6902 0.3268  6 Pm 3.41-3.76, 2 Pr 3.64-3.77
Pr 0.8096 0.8096 0.7613  6 Pm 3.44-3.63, 2 Pr 3.77, 2 Ac 3.80

Computed properties:
The magnetization is 0.0 Bohr magnetons per cell. For the calculated formation energy, the calculation gives 0.106 eV per atom. The relative energy among the computed polymorphs is 0.006 eV per atom. For the density of states at the Fermi level, the calculation gives 30.74 states/eV/cell. Its electronic total energy is -87.10 eV for the cell shown.

# 7
A geometry-optimized Ac4PmPr2 structure. Source: the Alexandria database, functional PBE.

Unit cell a=9.6652 b=9.6652 c=9.6652 alpha=135.32 beta=100.02 gamma=96.60
With the nearest neighbours (Å) after each atom.
Sites, in units of the cell vectors:
Ac 0.1599 0.1525 0.0074  1 Pr 3.57, 2 Pm 3.75, 1 Ac 3.93
Ac 0.2389 0.2203 0.4814  1 Pm 3.36, 3 Pr 3.38-3.68, 1 Ac 3.40
Ac 0.2389 0.7575 0.0186  1 Pm 3.36, 3 Pr 3.38-3.68, 1 Ac 3.40
Ac 0.3549 0.8475 0.5074  1 Pr 3.57, 2 Pm 3.75, 1 Ac 3.93
Ac 0.6451 0.1525 0.4926  1 Pr 3.57, 2 Pm 3.75, 1 Ac 3.93
Ac 0.7611 0.2425 0.9814  1 Pm 3.36, 3 Pr 3.38-3.68, 1 Ac 3.40
Ac 0.7611 0.7797 0.5186  1 Pm 3.36, 3 Pr 3.38-3.68, 1 Ac 3.40
Ac 0.8401 0.8475 0.9926  1 Pr 3.57, 2 Pm 3.75, 1 Ac 3.93
Pm 0.5000 0.0000 0.0000  6 Ac 3.36-3.75, 2 Pm 3.67
Pm 0.5000 0.5000 0.5000  6 Ac 3.36-3.75, 2 Pm 3.67
Pr 0.0000 0.5000 0.5000  4 Ac 3.68
Pr 0.0258 0.2758 0.7500  4 Ac 3.38-3.57, 2 Pr 3.73
Pr 0.5000 0.5000 0.0000  4 Ac 3.68
Pr 0.9742 0.7242 0.2500  4 Ac 3.38-3.57, 2 Pr 3.73

Computed properties:
The magnetization is 0.0 Bohr magnetons per cell. For the calculated formation energy, the calculation gives 0.242 eV per atom. For the density of states at the Fermi level, the calculation gives 22.77 states/eV/cell. Its electronic total energy is -58.10 eV for the cell shown.

# 8
A geometry-optimized Ac2Pm5Pr structure. Source: the Alexandria database, functional PBE.

Unit cell a=7.4633 b=14.9292 c=5.3082 alpha=90.00 beta=90.00 gamma=90.00
With the nearest neighbours (Å) after each atom.
Sites, in units of the cell vectors:
Ac 0.2487 0.1255 0.0000  10 Pm 3.72-3.74, 2 Pr 3.75
Ac 0.2513 0.6255 0.0000  10 Pm 3.72-3.74, 2 Pr 3.75
Ac 0.7487 0.3745 0.0000  10 Pm 3.72-3.74, 2 Pr 3.75
Ac 0.7513 0.8745 0.0000  10 Pm 3.72-3.74, 2 Pr 3.75
Pm 0.0000 0.0000 0.5000  6 Pm 3.72-3.75, 2 Pr 3.73, 4 Ac 3.74
Pm 0.0013 0.7505 0.5000  7 Pm 3.72-3.75, 4 Ac 3.73-3.74, 1 Pr 3.74
Pm 0.2492 0.3749 0.0000  4 Ac 3.72-3.74, 6 Pm 3.74-3.75, 2 Pr 3.74
Pm 0.2508 0.8749 0.0000  4 Ac 3.72-3.74, 6 Pm 3.74-3.75, 2 Pr 3.74
Pm 0.4987 0.2505 0.5000  7 Pm 3.72-3.75, 4 Ac 3.73-3.74, 1 Pr 3.74
Pm 0.5000 0.5000 0.5000  6 Pm 3.72-3.75, 2 Pr 3.73, 4 Ac 3.74
Pm 0.5013 0.7495 0.5000  7 Pm 3.72-3.75, 4 Ac 3.73-3.74, 1 Pr 3.74
Pm 0.7492 0.1251 0.0000  4 Ac 3.72-3.74, 6 Pm 3.74-3.75, 2 Pr 3.74
Pm 0.7508 0.6251 0.0000  4 Ac 3.72-3.74, 6 Pm 3.74-3.75, 2 Pr 3.74
Pm 0.9987 0.2495 0.5000  7 Pm 3.72-3.75, 4 Ac 3.73-3.74, 1 Pr 3.74
Pr 0.0000 0.5000 0.5000  8 Pm 3.73-3.74, 4 Ac 3.75
Pr 0.5000 0.0000 0.5000  8 Pm 3.73-3.74, 4 Ac 3.75

Computed properties:
The magnetization is 0.0 Bohr magnetons per cell. For the calculated formation energy, the calculation gives 0.029 eV per atom. The relative energy among the computed polymorphs is 0.000 eV per atom. For the density of states at the Fermi level, the calculation gives 27.99 states/eV/cell. Its electronic total energy is -73.04 eV for the cell shown.